# Y3AlSi2Pd9 | Alexandria via LeMat-Bulk | PBE-GGA | optimized geometry
data_Y3AlSi2Pd9
_chemical_formula_sum 'Y3 Al1 Si2 Pd9'
_space_group_name_H-M_alt 'P 1'
_space_group_IT_number 1
_cell_length_a 6.281
_cell_length_b 6.281
_cell_length_c 8.879
_cell_angle_alpha 90.00
_cell_angle_beta 90.00
_cell_angle_gamma 120.00
loop_
_space_group_symop_operation_xyz
'x,y,z'
loop_
_atom_site_label
_atom_site_type_symbol
_atom_site_fract_x
_atom_site_fract_y
_atom_site_fract_z
Y1 Y 0.333 0.667 0.702
Y2 Y 0.000 0.000 0.000
Y3 Y 0.667 0.333 0.298
Al1 Al 0.000 0.000 0.500
Si1 Si 0.333 0.667 0.174
Si2 Si 0.667 0.333 0.826
Pd1 Pd 0.854 0.146 0.715
Pd2 Pd 0.854 0.709 0.715
Pd3 Pd 0.291 0.146 0.715
Pd4 Pd 0.709 0.854 0.285
Pd5 Pd 0.146 0.291 0.285
Pd6 Pd 0.146 0.854 0.285
Pd7 Pd 0.500 0.000 0.000
Pd8 Pd 0.000 0.500 0.000
Pd9 Pd 0.500 0.500 0.000
# Space group: P-3m1, No. 164
# VASP energy in eV/atom: -6.037
# Volume in Å³/cell: 303.4
# Formation energy from raw total energies in eV/atom: -0.656
# Crystal system: trigonal